An optimized crystal structure of Ba5Cl. Source: Alexandria via LeMat-Bulk, functional GGA-PBEsol.

Unit cell a=7.8673 b=7.8673 c=7.8673 alpha=60.00 beta=60.00 gamma=60.00
Last column: nearest neighbours and their distance in Å.
Fractional positions:
Ba: 0.2500 0.2500 0.2500  12 Ba 4.61, 4 Cl 4.82
Ba: 0.6251 0.1247 0.6251  6 Ba 3.93-3.94
Ba: 0.6251 0.6251 0.1247  6 Ba 3.93-3.94
Ba: 0.6251 0.6251 0.6251  6 Ba 3.93-3.94
Ba: 0.1247 0.6251 0.6251  6 Ba 3.93-3.94
Cl: 0.0000 0.0000 0.0000  16 Ba 4.61-4.82

relative energy among the computed polymorphs	0.000	eV/atom
formation energy without anion corrections	3.54	kJ per mole of atoms
space group	F-43m (216)



An optimized crystal structure of LaZrSc2In. Source: Alexandria via LeMat-Bulk, functional GGA-PBEsol.

Unit cell a=5.1229 b=5.1229 c=5.4445 alpha=90.00 beta=90.00 gamma=90.00
Last column: nearest neighbours and their distance in Å.
Fractional positions:
Sc: 0.0000 0.5000 0.0000  2 Zr 2.56
Sc: 0.5000 0.0000 0.0000  2 Zr 2.56
In: 0.5000 0.5000 0.5000  4 La 3.62, 8 Sc 3.74
Zr: 0.0000 0.0000 0.0000  4 Sc 2.56, 2 La 2.72
La: 0.0000 0.0000 0.5000  2 Zr 2.72

ΔE_f	0.56	eV/atom
space group	P4/mmm (123)



An optimized crystal structure of Co2AgAs. Source: Alexandria via LeMat-Bulk, functional GGA-PBEsol.

Unit cell a=2.9487 b=4.1763 c=4.1763 alpha=90.09 beta=90.00 gamma=90.00
Last column: nearest neighbours and their distance in Å.
Fractional positions:
As: 0.5000 0.0000 0.0000  8 Co 2.56
Co: 0.0000 0.0000 0.5000  4 Ag 2.56, 4 As 2.56
Co: 0.0000 0.5000 0.0000  4 As 2.56, 4 Ag 2.56
Ag: 0.5000 0.5000 0.5000  8 Co 2.56

ΔE_f	0.26	eV/atom
space group	Cmmm (65)



Number 1: V 57.386 A^3/atom. Number 2: V 28.577 A^3/atom. Number 3: V 12.857 A^3/atom.